The following is a DFT calculation (PBE) of an optimized crystal structure of SrNdSb2.

Cell: 8.292 8.292 7.090 Å, 90.00 90.00 120.00°
Positions (direct):
Sr  0.000  0.666  0.000
Sr  0.334  0.334  0.000
Sr  0.666  0.000  0.000
Nd  0.000  0.333  0.500
Nd  0.333  0.000  0.500
Nd  0.667  0.667  0.500
Sb  0.000  0.000  0.261
Sb  0.000  0.000  0.739
Sb  0.333  0.667  0.263
Sb  0.333  0.667  0.737
Sb  0.667  0.333  0.263
Sb  0.667  0.333  0.737

## Properties
Crystal system: hexagonal
Uncorrected energy in eV per atom: -4.688

---

The following is a DFT calculation (PBE) of an optimized crystal structure of NdTaSb.

Cell: 4.887 4.887 4.887 Å, 60.00 60.00 60.00°
Positions (direct):
Nd  0.000  0.000  0.000
Ta  0.500  0.500  0.500
Sb  0.250  0.250  0.250

## Properties
Crystal system: cubic
Uncorrected energy in eV per atom: -6.634

---

The following is a DFT calculation (PBE) of an optimized crystal structure of TbNdSb2.

Cell: 4.505 4.505 11.492 Å, 90.00 90.00 90.00°
Positions (direct):
Tb  0.250  0.750  0.000
Tb  0.750  0.250  0.000
Nd  0.250  0.250  0.286
Nd  0.750  0.750  0.714
Sb  0.250  0.250  0.806
Sb  0.250  0.750  0.500
Sb  0.750  0.250  0.500
Sb  0.750  0.750  0.194

## Properties
Crystal system: tetragonal
Relative energy among the computed polymorphs in meV/atom: 324.5
Uncorrected energy in eV per atom: -5.245

---

The following is a DFT calculation (PBE) of an optimized crystal structure of TbNd2Sb3.

Cell: 4.477 4.477 10.992 Å, 90.00 90.00 120.00°
Positions (direct):
Tb  0.000  0.000  0.000
Nd  0.333  0.667  0.330
Nd  0.667  0.333  0.670
Sb  0.000  0.000  0.500
Sb  0.333  0.667  0.840
Sb  0.667  0.333  0.160

## Properties
Crystal system: trigonal
Uncorrected energy in eV per atom: -5.596

---

The following is a DFT calculation (PBE) of an optimized crystal structure of TbNdSb2.

Cell: 4.462 4.462 6.309 Å, 90.00 90.00 90.00°
Positions (direct):
Tb  0.000  0.000  0.000
Nd  0.500  0.500  0.500
Sb  0.000  0.000  0.500
Sb  0.500  0.500  0.000

## Properties
Crystal system: tetragonal
Relative energy among the computed polymorphs in meV/atom: 0.0
Uncorrected energy in eV per atom: -5.569

---

The following is a DFT calculation (PBE) of an optimized crystal structure of TbNdZr2Sb2.

Cell: 8.982 8.982 8.982 Å, 152.19 152.19 39.74°
Positions (direct):
Tb  0.000  0.000  0.000
Nd  0.646  0.646  0.000
Zr  0.325  0.825  0.500
Zr  0.825  0.325  0.500
Sb  0.195  0.195  0.000
Sb  0.455  0.455  0.000

## Properties
Crystal system: tetragonal
Uncorrected energy in eV per atom: -6.600

---

The following is a DFT calculation (PBE) of an optimized crystal structure of NdTcSb.

Cell: 4.829 4.829 4.829 Å, 60.00 60.00 60.00°
Positions (direct):
Nd  0.000  0.000  0.000
Tc  0.500  0.500  0.500
Sb  0.250  0.250  0.250

## Properties
Crystal system: cubic
Uncorrected energy in eV per atom: -6.240

---

The following is a DFT calculation (PBE) of an optimized crystal structure of NdSbTe.

Cell: 5.234 5.234 5.234 Å, 60.00 60.00 60.00°
Positions (direct):
Nd  0.000  0.000  0.000
Sb  0.500  0.500  0.500
Te  0.250  0.250  0.250

## Properties
Crystal system: cubic
Uncorrected energy in eV per atom: -4.464

---

The following is a DFT calculation (PBE) of an optimized crystal structure of NdSbTe.

Cell: 5.314 5.314 5.314 Å, 60.00 60.00 60.00°
Positions (direct):
Nd  0.000  0.000  0.000
Sb  0.750  0.750  0.750
Te  0.250  0.250  0.250

## Properties
Crystal system: cubic
Uncorrected energy in eV per atom: -4.611

---

The following is a DFT calculation (PBE) of an optimized crystal structure of NdSbTe.

Cell: 4.444 4.444 9.235 Å, 90.00 90.00 90.00°
Positions (direct):
Nd  0.250  0.250  0.226
Nd  0.750  0.750  0.774
Sb  0.250  0.250  0.871
Sb  0.750  0.750  0.129
Te  0.250  0.750  0.500
Te  0.750  0.250  0.500

## Properties
Crystal system: tetragonal
Uncorrected energy in eV per atom: -4.821

---

The following is a DFT calculation (PBE) of an optimized crystal structure of NdTlSbTe3.

Cell: 8.242 8.242 11.512 Å, 90.00 90.00 147.97°
Positions (direct):
Nd  0.000  0.000  0.000
Nd  0.000  0.000  0.500
Tl  0.235  0.765  0.750
Tl  0.765  0.235  0.250
Sb  0.459  0.541  0.250
Sb  0.541  0.459  0.750
Te  0.106  0.894  0.250
Te  0.358  0.642  0.035
Te  0.358  0.642  0.465
Te  0.642  0.358  0.535
Te  0.642  0.358  0.965
Te  0.894  0.106  0.750

## Properties
Crystal system: orthorhombic
Uncorrected energy in eV per atom: -3.982

---

The following is a DFT calculation (PBE) of an optimized crystal structure of NdTlSb.

Cell: 5.245 5.245 5.245 Å, 60.00 60.00 60.00°
Positions (direct):
Nd  0.000  0.000  0.000
Tl  0.250  0.250  0.250
Sb  0.750  0.750  0.750

## Properties
Crystal system: cubic
Relative energy among the computed polymorphs in meV/atom: 0.0
Uncorrected energy in eV per atom: -4.054